Entry 1:
Crystalline TlIrN2 at its relaxed geometry. Source: Alexandria, functional GGA-PBE.

The structure in POSCAR format:
```
TlIrN2
1.0
1.846 0.000 6.673
-0.923 1.599 6.673
-0.923 -1.599 6.673
Tl N Ir
1 2 1
direct
0.000 0.000 0.000
0.879 0.879 0.879
0.121 0.121 0.121
0.500 0.500 0.500
```

Summary:
N(E_F) (states/eV per atom): 0.7145
Distance to the lowest polymorph of the same formula (meV per atom): 40
Space group: R-3m (166)
Electronic total energy (eV/atom): -6.224



Entry 2:
Crystalline TlIrN2 at its relaxed geometry. Source: Alexandria, functional GGA-PBE.

The structure in POSCAR format:
```
TlIrN2
1.0
-3.576 -4.857 -0.666
4.258 -2.669 -3.401
1.837 -5.284 1.033
Tl Ir N
2 2 4
direct
0.750 0.250 0.500
0.000 0.000 0.000
0.250 0.750 0.500
0.500 0.500 0.000
0.875 0.741 0.750
0.375 0.509 0.750
0.491 0.125 0.250
0.259 0.625 0.250
```

Summary:
N(E_F) (states/eV per atom): 0.9968
Distance to the lowest polymorph of the same formula (meV per atom): 0
Space group: I-42d (122)
Electronic total energy (eV/atom): -6.264



Entry 3:
Crystalline TlIrN2 at its relaxed geometry. Source: Alexandria, functional GGA-PBE.

The structure in POSCAR format:
```
TlIrN2
1.0
-1.917 0.758 3.556
-3.137 2.653 0.118
-3.828 -1.370 0.604
N Ir Tl
2 1 1
direct
0.750 0.750 0.750
0.250 0.250 0.250
0.000 0.000 0.000
0.500 0.500 0.500
```

Summary:
N(E_F) (states/eV per atom): 0.0989
Distance to the lowest polymorph of the same formula (meV per atom): 1052
Space group: Fm-3m (225)
Electronic total energy (eV/atom): -5.212



Entry 4:
Crystalline TlIrN2 at its relaxed geometry. Source: Alexandria, functional GGA-PBE.

The structure in POSCAR format:
```
TlIrN2
1.0
-4.744 -3.543 -3.262
-3.214 -5.804 -1.299
-5.592 -3.800 -0.018
N Tl Ir
2 1 1
direct
0.906 0.906 0.906
0.094 0.094 0.094
0.500 0.500 0.500
0.000 0.000 0.000
```

Summary:
N(E_F) (states/eV per atom): 0.3442
Distance to the lowest polymorph of the same formula (meV per atom): 478
Space group: R-3m (166)
Electronic total energy (eV/atom): -5.787



Entry 5:
Crystalline TlIrN3 at its relaxed geometry. Source: Alexandria, functional GGA-PBE.

The structure in POSCAR format:
```
TlIrN3
1.0
3.953 0.000 0.000
0.000 3.953 0.000
0.000 0.000 3.953
N Ir Tl
3 1 1
direct
0.500 0.000 0.000
0.000 0.500 0.000
0.000 0.000 0.500
0.000 0.000 0.000
0.500 0.500 0.500
```

Summary:
N(E_F) (states/eV per atom): 1.0433
Space group: Pm-3m (221)
Electronic total energy (eV/atom): -5.901



Entry 6:
Crystalline TlIrN3 at its relaxed geometry. Source: Alexandria, functional GGA-PBE.

The structure in POSCAR format:
```
TlIrN3
1.0
-1.023 2.511 -3.131
-1.423 -3.248 -2.140
-3.753 0.547 1.665
N Tl Ir
3 1 1
direct
0.000 0.500 0.000
0.500 0.000 0.000
0.000 0.000 0.500
0.000 0.000 0.000
0.500 0.500 0.500
```

Summary:
N(E_F) (states/eV per atom): 0.8714
Space group: Pm-3m (221)
Electronic total energy (eV/atom): -4.031



Entry 7:
Crystalline Zr2TlIrN at its relaxed geometry. Source: Alexandria, functional GGA-PBE.

The structure in POSCAR format:
```
Zr2TlIrN
1.0
5.378 0.000 0.000
0.000 3.939 0.000
0.000 0.000 5.378
Tl N Zr Ir
1 1 2 1
direct
0.000 0.000 0.000
0.000 0.500 0.000
0.500 0.000 0.000
0.000 0.000 0.500
0.500 0.500 0.500
```

Summary:
N(E_F) (states/eV per atom): 1.3136
Space group: P4/mmm (123)
Electronic total energy (eV/atom): -5.568



Entry 8:
Crystalline Tm2IrN at its relaxed geometry. Source: Alexandria, functional GGA-PBE.

The structure in POSCAR format:
```
Tm2IrN
1.0
-1.828 2.547 0.813
-0.216 0.915 3.100
5.575 5.957 0.323
N Tm Ir
1 2 1
direct
0.500 0.500 0.500
0.891 0.891 0.328
0.109 0.109 0.672
0.000 0.000 0.000
```

Summary:
N(E_F) (states/eV per atom): 0.4951
Space group: R-3m (166)
Electronic total energy (eV/atom): -7.098